# 1
DFT (PBE-GGA) results for an optimized crystal structure of Pu3AuC.

a = 4.820 Å, b = 4.820 Å, c = 4.820 Å
α = 90.00°, β = 90.00°, γ = 90.00°
Sites, in units of the cell vectors:
Pu  0.000  0.000  0.500
Pu  0.000  0.500  0.000
Pu  0.500  0.000  0.000
Au  0.500  0.500  0.500
C  0.000  0.000  0.000

**DOS(E_F)**: 17.4 states/eV/f.u.
**Theoretical density**: 14.0 g/cm3
**Calculated formation energy**: -0.08 eV/atom
**Magnetic moment**: 16.7 μB per cell

# 2
DFT (PBE-GGA) results for an optimized crystal structure of Nd3S5.

a = 8.608 Å, b = 8.608 Å, c = 5.699 Å
α = 90.00°, β = 90.00°, γ = 120.00°
Sites, in units of the cell vectors:
Nd  0.000  0.363  0.250
Nd  0.000  0.637  0.750
Nd  0.363  0.000  0.250
Nd  0.363  0.363  0.750
Nd  0.637  0.000  0.750
Nd  0.637  0.637  0.250
S  0.000  0.283  0.750
S  0.000  0.717  0.250
S  0.283  0.000  0.750
S  0.283  0.283  0.250
S  0.333  0.667  0.000
S  0.333  0.667  0.500
S  0.667  0.333  0.000
S  0.667  0.333  0.500
S  0.717  0.000  0.250
S  0.717  0.717  0.750

**E_form (uncorrected)**: -1.870 eV per atom
**DOS(E_F)**: 1.4 states/eV/f.u.
**Theoretical density**: 5.4 g/cm3
**Magnetic moment**: 0.0 μB per cell

# 3
DFT (PBE-GGA) results for an optimized crystal structure of Mn10ZnN8.

a = 7.575 Å, b = 7.575 Å, c = 6.654 Å
α = 106.46°, β = 106.46°, γ = 31.09°
Sites, in units of the cell vectors:
Mn  0.041  0.041  0.222
Mn  0.147  0.147  0.710
Mn  0.216  0.216  0.176
Mn  0.321  0.321  0.577
Mn  0.402  0.402  0.035
Mn  0.598  0.598  0.965
Mn  0.679  0.679  0.423
Mn  0.784  0.784  0.824
Mn  0.853  0.853  0.290
Mn  0.959  0.959  0.778
Zn  0.500  0.500  0.500
N  0.098  0.098  0.954
N  0.176  0.176  0.428
N  0.353  0.353  0.288
N  0.453  0.453  0.777
N  0.547  0.547  0.223
N  0.647  0.647  0.712
N  0.824  0.824  0.572
N  0.902  0.902  0.046

**E_form (uncorrected)**: -0.195 eV per atom
**DOS(E_F)**: 8.3 states/eV/f.u.
**Theoretical density**: 6.4 g/cm3
**Magnetic moment**: 18.0 μB per cell

# 4
DFT (PBE-GGA) results for an optimized crystal structure of Zr2UMn.

a = 11.170 Å, b = 11.170 Å, c = 11.170 Å
α = 15.37°, β = 15.37°, γ = 15.37°
Sites, in units of the cell vectors:
Zr  0.080  0.080  0.080
Zr  0.920  0.920  0.920
U  0.500  0.500  0.500
Mn  0.000  0.000  0.000

**DOS(E_F)**: 8.3 states/eV/f.u.
**Theoretical density**: 9.3 g/cm3
**Calculated formation energy**: 0.54 eV/atom
**Magnetic moment**: 4.9 μB per cell
**ΔE to the lowest computed polymorph**: 0.3634 eV per atom

# 5
DFT (PBE-GGA) results for an optimized crystal structure of ZrSi2Hg.

a = 9.095 Å, b = 9.095 Å, c = 9.095 Å
α = 20.11°, β = 20.11°, γ = 20.11°
Sites, in units of the cell vectors:
Zr  0.000  0.000  0.000
Si  0.253  0.253  0.253
Si  0.747  0.747  0.747
Hg  0.500  0.500  0.500

**E_form (uncorrected)**: 0.163 eV per atom
**DOS(E_F)**: 2.5 states/eV/f.u.
**Theoretical density**: 7.4 g/cm3
**Magnetic moment**: 0.0 μB per cell
**ΔE to the lowest computed polymorph**: 0.2706 eV per atom

# 6
DFT (PBE-GGA) results for an optimized crystal structure of CeMg2OsN4.

a = 5.847 Å, b = 5.847 Å, c = 10.754 Å
α = 90.00°, β = 90.00°, γ = 146.46°
Sites, in units of the cell vectors:
Ce  0.116  0.884  0.750
Ce  0.884  0.116  0.250
Mg  0.379  0.621  0.530
Mg  0.379  0.621  0.970
Mg  0.621  0.379  0.030
Mg  0.621  0.379  0.470
Os  0.146  0.854  0.250
Os  0.854  0.146  0.750
N  0.000  0.000  0.000
N  0.000  0.000  0.500
N  0.271  0.729  0.127
N  0.271  0.729  0.373
N  0.439  0.561  0.750
N  0.561  0.439  0.250
N  0.729  0.271  0.627
N  0.729  0.271  0.873

**E_form (uncorrected)**: -0.436 eV per atom
**DOS(E_F)**: 2.7 states/eV/f.u.
**Theoretical density**: 7.1 g/cm3
**Magnetic moment**: 0.0 μB per cell

# 7
DFT (PBE-GGA) results for an optimized crystal structure of LiH12AuC4S4O12.

a = 8.372 Å, b = 8.372 Å, c = 8.372 Å
α = 109.53°, β = 109.53°, γ = 109.36°
Sites, in units of the cell vectors:
Li  0.000  0.000  0.000
H  0.063  0.912  0.436
H  0.088  0.524  0.152
H  0.181  0.436  0.996
H  0.309  0.494  0.625
H  0.316  0.691  0.185
H  0.372  0.937  0.848
H  0.440  0.185  0.004
H  0.476  0.628  0.564
H  0.506  0.131  0.815
H  0.564  0.560  0.745
H  0.815  0.819  0.255
H  0.869  0.684  0.375
Au  0.750  0.250  0.500
C  0.170  0.561  0.079
C  0.439  0.518  0.609
C  0.482  0.091  0.921
C  0.909  0.830  0.391
S  0.043  0.617  0.910
S  0.383  0.293  0.425
S  0.707  0.132  0.090
S  0.868  0.957  0.575
O  0.023  0.780  0.020
O  0.133  0.640  0.793
O  0.220  0.240  0.243
O  0.360  0.153  0.493
O  0.563  0.343  0.395
O  0.657  0.052  0.221
O  0.660  0.867  0.507
O  0.760  0.004  0.980
O  0.831  0.437  0.779
O  0.847  0.340  0.207
O  0.948  0.169  0.605
O  0.996  0.977  0.757

**DOS(E_F)**: 0.0 states/eV/f.u.
**Theoretical density**: 2.1 g/cm3
**Magnetic moment**: 0.0 μB per cell
**Total DFT energy (no corrections)**: -5.40 eV/atom

# 8
DFT (PBE-GGA) results for an optimized crystal structure of CuRuPb3.

a = 5.260 Å, b = 5.260 Å, c = 5.260 Å
α = 90.00°, β = 90.00°, γ = 90.00°
Sites, in units of the cell vectors:
Cu  0.000  0.000  0.000
Ru  0.500  0.500  0.500
Pb  0.000  0.500  0.500
Pb  0.500  0.000  0.500
Pb  0.500  0.500  0.000

**DOS(E_F)**: 5.1 states/eV/f.u.
**Theoretical density**: 9.0 g/cm3
**Calculated formation energy**: 0.56 eV/atom
**Magnetic moment**: 0.0 μB per cell
**ΔE to the lowest computed polymorph**: 0.0000 eV per atom

# 9
DFT (PBE-GGA) results for an optimized crystal structure of Tb2GeSbRh6.

a = 6.289 Å, b = 6.336 Å, c = 7.200 Å
α = 64.78°, β = 64.20°, γ = 60.25°
Sites, in units of the cell vectors:
Tb  0.238  0.237  0.286
Tb  0.762  0.763  0.714
Ge  0.500  0.500  0.500
Sb  0.000  0.000  0.000
Rh  0.177  0.744  0.331
Rh  0.253  0.255  0.670
Rh  0.253  0.831  0.663
Rh  0.747  0.169  0.337
Rh  0.747  0.745  0.330
Rh  0.823  0.256  0.669

**E_form (uncorrected)**: -0.404 eV per atom
**DOS(E_F)**: 8.0 states/eV/f.u.
**Theoretical density**: 8.7 g/cm3
**Magnetic moment**: 0.0 μB per cell

# 10
DFT (PBE-GGA) results for an optimized crystal structure of La2ErPd.

a = 10.984 Å, b = 10.984 Å, c = 10.984 Å
α = 19.47°, β = 19.47°, γ = 19.47°
Sites, in units of the cell vectors:
La  0.104  0.104  0.104
La  0.896  0.896  0.896
Er  0.000  0.000  0.000
Pd  0.500  0.500  0.500

**DOS(E_F)**: 5.5 states/eV/f.u.
**Theoretical density**: 7.1 g/cm3
**Calculated formation energy**: -0.06 eV/atom
**Magnetic moment**: 0.0 μB per cell
**ΔE to the lowest computed polymorph**: 0.2626 eV per atom

# 11
DFT (PBE-GGA) results for an optimized crystal structure of SrCl2F8.

a = 6.504 Å, b = 6.504 Å, c = 4.545 Å
α = 96.68°, β = 96.68°, γ = 56.81°
Sites, in units of the cell vectors:
Sr  0.000  0.000  0.000
Cl  0.345  0.345  0.422
Cl  0.655  0.655  0.578
F  0.071  0.667  0.424
F  0.230  0.230  0.090
F  0.333  0.929  0.576
F  0.437  0.437  0.772
F  0.563  0.563  0.228
F  0.667  0.071  0.424
F  0.770  0.770  0.910
F  0.929  0.333  0.576

**E_form (uncorrected)**: -1.408 eV per atom
**DOS(E_F)**: 0.0 states/eV/f.u.
**Theoretical density**: 3.2 g/cm3
**Magnetic moment**: 0.0 μB per cell
**ΔE to the lowest computed polymorph**: 0.1255 eV per atom

# 12
DFT (PBE-GGA) results for an optimized crystal structure of BaDyP2.

a = 7.628 Å, b = 7.628 Å, c = 7.628 Å
α = 32.40°, β = 32.40°, γ = 32.40°
Sites, in units of the cell vectors:
Ba  0.000  0.000  0.000
Dy  0.500  0.500  0.500
P  0.235  0.235  0.235
P  0.765  0.765  0.765

**DOS(E_F)**: 3.8 states/eV/f.u.
**Theoretical density**: 5.3 g/cm3
**Calculated formation energy**: -1.08 eV/atom
**Magnetic moment**: 0.0 μB per cell

# 13
DFT (PBE-GGA) results for an optimized crystal structure of KMg3Si.

a = 5.809 Å, b = 5.809 Å, c = 5.809 Å
α = 90.00°, β = 90.00°, γ = 90.00°
Sites, in units of the cell vectors:
K  0.000  0.000  0.000
Mg  0.000  0.000  0.500
Mg  0.000  0.500  0.000
Mg  0.500  0.000  0.000
Si  0.500  0.500  0.500

**E_form (uncorrected)**: 1.457 eV per atom
**DOS(E_F)**: 5.7 states/eV/f.u.
**Theoretical density**: 1.2 g/cm3
**Magnetic moment**: 0.0 μB per cell
**ΔE to the lowest computed polymorph**: 1.2075 eV per atom

# 14
DFT (PBE-GGA) results for an optimized crystal structure of AlCdSi.

a = 7.574 Å, b = 7.574 Å, c = 7.574 Å
α = 22.45°, β = 22.45°, γ = 22.45°
Sites, in units of the cell vectors:
Al  0.000  0.000  0.000
Cd  0.552  0.552  0.552
Si  0.427  0.427  0.427

**E_form (uncorrected)**: 0.244 eV per atom
**DOS(E_F)**: 0.9 states/eV/f.u.
**Theoretical density**: 5.0 g/cm3
**Magnetic moment**: 0.0 μB per cell

# 15
DFT (PBE-GGA) results for an optimized crystal structure of NaLa3Ir.

a = 9.788 Å, b = 4.216 Å, c = 9.807 Å
α = 90.00°, β = 118.29°, γ = 90.00°
Sites, in units of the cell vectors:
Na  0.097  0.250  0.150
Na  0.903  0.750  0.850
La  0.128  0.250  0.693
La  0.340  0.750  0.499
La  0.420  0.750  0.114
La  0.580  0.250  0.886
La  0.660  0.250  0.501
La  0.872  0.750  0.307
Ir  0.346  0.750  0.787
Ir  0.654  0.250  0.213

**DOS(E_F)**: 6.2 states/eV/f.u.
**Theoretical density**: 5.9 g/cm3
**Calculated formation energy**: -0.32 eV/atom
**Magnetic moment**: 0.0 μB per cell
**ΔE to the lowest computed polymorph**: 0.0000 eV per atom

# 16
DFT (PBE-GGA) results for an optimized crystal structure of UZn2InO8.

a = 5.936 Å, b = 5.936 Å, c = 5.936 Å
α = 110.87°, β = 110.87°, γ = 106.70°
Sites, in units of the cell vectors:
U  0.000  0.000  0.000
Zn  0.250  0.750  0.500
Zn  0.500  0.500  0.000
In  0.750  0.250  0.500
O  0.056  0.353  0.296
O  0.056  0.760  0.704
O  0.108  0.294  0.814
O  0.240  0.944  0.296
O  0.480  0.294  0.186
O  0.647  0.944  0.704
O  0.706  0.520  0.814
O  0.706  0.892  0.186

**E_form (uncorrected)**: -1.467 eV per atom
**DOS(E_F)**: 8.6 states/eV/f.u.
**Theoretical density**: 6.3 g/cm3
**Magnetic moment**: 2.8 μB per cell

# 17
DFT (PBE-GGA) results for an optimized crystal structure of Tl2ZnCr2S6.

a = 6.239 Å, b = 6.239 Å, c = 7.394 Å
α = 97.54°, β = 97.54°, γ = 120.77°
Sites, in units of the cell vectors:
Tl  0.159  0.841  0.000
Tl  0.841  0.159  0.000
Zn  0.000  0.000  0.500
Cr  0.327  0.673  0.500
Cr  0.673  0.327  0.500
S  0.060  0.421  0.687
S  0.285  0.285  0.333
S  0.421  0.060  0.687
S  0.579  0.940  0.313
S  0.715  0.715  0.667
S  0.940  0.579  0.313

**E_form (uncorrected)**: -0.484 eV per atom
**DOS(E_F)**: 5.2 states/eV/f.u.
**Theoretical density**: 5.4 g/cm3
**Magnetic moment**: 4.3 μB per cell

# 18
DFT (PBE-GGA) results for an optimized crystal structure of Tm4B.

a = 5.082 Å, b = 5.082 Å, c = 5.082 Å
α = 90.00°, β = 90.00°, γ = 90.00°
Sites, in units of the cell vectors:
Tm  0.000  0.000  0.000
Tm  0.000  0.500  0.500
Tm  0.500  0.000  0.500
Tm  0.500  0.500  0.000
B  0.500  0.500  0.500

**DOS(E_F)**: 5.8 states/eV/f.u.
**Theoretical density**: 8.7 g/cm3
**Calculated formation energy**: 0.05 eV/atom
**Magnetic moment**: 0.0 μB per cell

# 19
DFT (PBE-GGA) results for an optimized crystal structure of Ac6ZnRu2I3.

a = 7.682 Å, b = 7.682 Å, c = 9.030 Å
α = 98.15°, β = 98.15°, γ = 120.00°
Sites, in units of the cell vectors:
Ac  0.080  0.437  0.812
Ac  0.205  0.205  0.187
Ac  0.437  0.080  0.812
Ac  0.563  0.920  0.188
Ac  0.795  0.795  0.813
Ac  0.920  0.563  0.188
Zn  0.500  0.500  0.000
Ru  0.167  0.833  0.000
Ru  0.833  0.167  0.000
I  0.000  0.000  0.500
I  0.335  0.665  0.500
I  0.665  0.335  0.500

**E_form (uncorrected)**: -0.718 eV per atom
**DOS(E_F)**: 5.9 states/eV/f.u.
**Theoretical density**: 7.5 g/cm3
**Magnetic moment**: 0.0 μB per cell

# 20
DFT (PBE-GGA) results for an optimized crystal structure of Y3ErAu4.

a = 3.593 Å, b = 3.593 Å, c = 14.421 Å
α = 90.00°, β = 90.00°, γ = 90.00°
Sites, in units of the cell vectors:
Y  0.000  0.000  0.000
Y  0.000  0.000  0.251
Y  0.000  0.000  0.749
Er  0.000  0.000  0.500
Au  0.500  0.500  0.125
Au  0.500  0.500  0.379
Au  0.500  0.500  0.621
Au  0.500  0.500  0.875

**DOS(E_F)**: 5.3 states/eV/f.u.
**Theoretical density**: 10.9 g/cm3
**Calculated formation energy**: -0.86 eV/atom
**Magnetic moment**: 0.0 μB per cell